[1]
First-principles (PBE) data for LaPr8In2 after structural relaxation, as listed in the Alexandria database.

## Properties
- uncorrected energy (eV/atom) = -4.525
- density of states at the Fermi level (states/eV/f.u.) = 14.81
- energy of formation (kJ/mol of atoms) = -9.99

Unit cell a=17.746 b=6.890 c=6.298 alpha=90.00 beta=103.25 gamma=90.00
Space group C2/m (No. 12)
Symmetry-distinct sites (fractional):
1 La 0.000 0.000 0.000 [2 per cell]
2 Pr 0.002 0.500 0.740 [4 per cell]
3 Pr 0.136 0.000 0.576 [4 per cell]
4 Pr 0.174 0.262 0.110 [8 per cell]
5 In 0.178 0.500 0.605 [4 per cell]



[2]
First-principles (PBE) data for La5Pr6In after structural relaxation, as listed in the Alexandria database.

## Properties
- uncorrected energy (eV/atom) = -4.736
- density of states at the Fermi level (states/eV/f.u.) = 16.22
- energy of formation (kJ/mol of atoms) = -6.29

Unit cell a=6.334 b=10.993 c=12.198 alpha=90.00 beta=100.14 gamma=90.00
Space group C2/m (No. 12)
Symmetry-distinct sites (fractional):
1 La 0.000 0.000 0.000 [2 per cell]
2 La 0.000 0.167 0.500 [4 per cell]
3 La 0.000 0.329 0.000 [4 per cell]
4 Pr 0.241 0.500 0.252 [4 per cell]
5 Pr 0.244 0.338 0.746 [8 per cell]
6 In 0.000 0.500 0.500 [2 per cell]



[3]
First-principles (PBE) data for La3PrIn12 after structural relaxation, as listed in the Alexandria database.

## Properties
- uncorrected energy (eV/atom) = -3.757
- density of states at the Fermi level (states/eV/f.u.) = 9.97
- energy of formation (kJ/mol of atoms) = -46.36

Unit cell a=4.775 b=4.775 c=19.124 alpha=90.00 beta=90.00 gamma=90.00
Space group P4/mmm (No. 123)
Symmetry-distinct sites (fractional):
1 La 0.000 0.000 0.000 [1 per cell]
2 La 0.000 0.000 0.252 [2 per cell]
3 Pr 0.000 0.000 0.500 [1 per cell]
4 In 0.000 0.500 0.126 [4 per cell]
5 In 0.000 0.500 0.376 [4 per cell]
6 In 0.500 0.500 0.000 [1 per cell]
7 In 0.500 0.500 0.250 [2 per cell]
8 In 0.500 0.500 0.500 [1 per cell]



[4]
First-principles (PBE) data for La6Pr2In after structural relaxation, as listed in the Alexandria database.

## Properties
- uncorrected energy (eV/atom) = -4.730
- E above lowest polymorph (meV per atom) = 0.0
- density of states at the Fermi level (states/eV/f.u.) = 14.70
- energy of formation (kJ/mol of atoms) = -7.62

Unit cell a=11.074 b=11.074 c=5.128 alpha=90.00 beta=90.00 gamma=90.00
Space group P4_2/mnm (No. 136)
Symmetry-distinct sites (fractional):
1 La 0.004 0.330 0.000 [8 per cell]
2 La 0.159 0.159 0.500 [4 per cell]
3 Pr 0.162 0.838 0.500 [4 per cell]
4 In 0.000 0.000 0.000 [2 per cell]



[5]
First-principles (PBE) data for La9Pr4In11 after structural relaxation, as listed in the Alexandria database.

## Properties
- uncorrected energy (eV/atom) = -4.335
- density of states at the Fermi level (states/eV/f.u.) = 24.79
- energy of formation (kJ/mol of atoms) = -41.99

Unit cell a=18.506 b=21.902 c=3.643 alpha=90.00 beta=90.00 gamma=90.00
Space group Cmmm (No. 65)
Symmetry-distinct sites (fractional):
1 La 0.000 0.000 0.000 [2 per cell]
2 La 0.116 0.240 0.000 [8 per cell]
3 La 0.121 0.412 0.000 [8 per cell]
4 Pr 0.153 0.086 0.000 [8 per cell]
5 In 0.000 0.137 0.500 [4 per cell]
6 In 0.000 0.331 0.500 [4 per cell]
7 In 0.000 0.500 0.500 [2 per cell]
8 In 0.237 0.500 0.500 [4 per cell]
9 In 0.243 0.322 0.500 [8 per cell]



[6]
First-principles (PBE) data for La4PrIn after structural relaxation, as listed in the Alexandria database.

## Properties
- uncorrected energy (eV/atom) = -4.710
- density of states at the Fermi level (states/eV/f.u.) = 7.77
- energy of formation (kJ/mol of atoms) = -16.58

Unit cell a=6.298 b=7.156 c=8.902 alpha=90.00 beta=91.22 gamma=90.00
Space group P2_1/m (No. 11)
Symmetry-distinct sites (fractional):
1 La 0.022 0.250 0.012 [2 per cell]
2 La 0.160 0.508 0.657 [4 per cell]
3 La 0.339 0.750 0.327 [2 per cell]
4 Pr 0.500 0.000 0.000 [2 per cell]
5 In 0.342 0.250 0.341 [2 per cell]



[7]
First-principles (PBE) data for LaPr7In4 after structural relaxation, as listed in the Alexandria database.

## Properties
- uncorrected energy (eV/atom) = -4.270
- density of states at the Fermi level (states/eV/f.u.) = 12.76
- energy of formation (kJ/mol of atoms) = -15.30

Unit cell a=14.810 b=5.897 c=10.954 alpha=90.00 beta=123.60 gamma=90.00
Space group C2/m (No. 12)
Symmetry-distinct sites (fractional):
1 La 0.000 0.000 0.000 [2 per cell]
2 Pr 0.000 0.500 0.000 [2 per cell]
3 Pr 0.062 0.000 0.393 [4 per cell]
4 Pr 0.205 0.000 0.880 [4 per cell]
5 Pr 0.216 0.500 0.653 [4 per cell]
6 In 0.057 0.500 0.756 [4 per cell]
7 In 0.182 0.500 0.332 [4 per cell]



[8]
First-principles (PBE) data for LaPrIn after structural relaxation, as listed in the Alexandria database.

## Properties
- uncorrected energy (eV/atom) = -4.397
- E above lowest polymorph (meV per atom) = 58.4
- density of states at the Fermi level (states/eV/f.u.) = 3.59
- energy of formation (kJ/mol of atoms) = -23.96

Unit cell a=6.319 b=3.478 c=8.680 alpha=90.00 beta=90.00 gamma=90.00
Space group Pmma (No. 51)
Symmetry-distinct sites (fractional):
1 La 0.000 0.000 0.000 [2 per cell]
2 Pr 0.250 0.000 0.379 [2 per cell]
3 In 0.250 0.500 0.707 [2 per cell]



[9]
First-principles (PBE) data for La2Pr3In3 after structural relaxation, as listed in the Alexandria database.

## Properties
- uncorrected energy (eV/atom) = -4.416
- density of states at the Fermi level (states/eV/f.u.) = 10.54
- energy of formation (kJ/mol of atoms) = -35.18

Unit cell a=5.056 b=5.121 c=9.638 alpha=90.00 beta=90.00 gamma=90.00
Space group Pmmm (No. 47)
Symmetry-distinct sites (fractional):
1 La 0.000 0.000 0.240 [2 per cell]
2 Pr 0.500 0.000 0.500 [1 per cell]
3 Pr 0.500 0.500 0.231 [2 per cell]
4 In 0.000 0.500 0.000 [1 per cell]
5 In 0.000 0.500 0.500 [1 per cell]
6 In 0.500 0.000 0.000 [1 per cell]



[10]
First-principles (PBE) data for LaPr3In2 after structural relaxation, as listed in the Alexandria database.

## Properties
- uncorrected energy (eV/atom) = -4.474
- E above lowest polymorph (meV per atom) = 0.0
- density of states at the Fermi level (states/eV/f.u.) = 7.93
- energy of formation (kJ/mol of atoms) = -33.78

Unit cell a=5.468 b=10.156 c=6.974 alpha=90.00 beta=90.00 gamma=90.00
Space group Pmc2_1 (No. 26)
Symmetry-distinct sites (fractional):
1 La 0.000 0.039 0.000 [2 per cell]
2 Pr 0.000 0.327 0.680 [2 per cell]
3 Pr 0.500 0.174 0.274 [2 per cell]
4 Pr 0.500 0.460 0.958 [2 per cell]
5 In 0.000 0.351 0.200 [2 per cell]
6 In 0.500 0.151 0.754 [2 per cell]



[11]
First-principles (PBE) data for La3Pr2In4 after structural relaxation, as listed in the Alexandria database.

## Properties
- uncorrected energy (eV/atom) = -4.308
- E above lowest polymorph (meV per atom) = 65.9
- density of states at the Fermi level (states/eV/f.u.) = 8.75
- energy of formation (kJ/mol of atoms) = -37.24

Unit cell a=12.104 b=5.283 c=10.359 alpha=90.00 beta=122.47 gamma=90.00
Space group C2/m (No. 12)
Symmetry-distinct sites (fractional):
1 La 0.000 0.000 0.000 [2 per cell]
2 La 0.151 0.500 0.685 [4 per cell]
3 Pr 0.148 0.500 0.310 [4 per cell]
4 In 0.040 0.000 0.382 [4 per cell]
5 In 0.211 0.500 0.044 [4 per cell]



[12]
First-principles (PBE) data for La3Pr2In after structural relaxation, as listed in the Alexandria database.

## Properties
- uncorrected energy (eV/atom) = -4.678
- E above lowest polymorph (meV per atom) = 0.0
- density of states at the Fermi level (states/eV/f.u.) = 7.74
- energy of formation (kJ/mol of atoms) = -15.89

Unit cell a=5.055 b=15.874 c=5.068 alpha=90.00 beta=90.00 gamma=90.00
Space group Cmmm (No. 65)
Symmetry-distinct sites (fractional):
1 La 0.000 0.000 0.000 [2 per cell]
2 La 0.000 0.341 0.000 [4 per cell]
3 Pr 0.000 0.164 0.500 [4 per cell]
4 In 0.000 0.500 0.500 [2 per cell]